# 1
# RbLaB2Pd PBEsol relaxed
# calculated density = 6.02 g/cm3
data_RbLaB2Pd
_cell_length_a 4.2938
_cell_length_b 4.2938
_cell_length_c 5.2741
_cell_angle_alpha 90.00
_cell_angle_beta 90.00
_cell_angle_gamma 90.00
_symmetry_space_group_name_H-M 'P 4/m m m'
_symmetry_Int_Tables_number 123
_symmetry_space_group_name_Hall '-P 4 2'
loop_
_atom_site_label
_atom_site_fract_x
_atom_site_fract_y
_atom_site_fract_z
_atom_site_occupancy
Rb1 0.0000 0.0000 0.0000 1
La1 0.5000 0.5000 0.0000 1
B1 0.0000 0.5000 0.5000 1
Pd1 0.0000 0.0000 0.5000 1


# 2
# BeNb3H PBEsol relaxed
# calculated density = 7.23 g/cm3
data_BeNb3H
_cell_length_a 4.0485
_cell_length_b 4.0485
_cell_length_c 4.0485
_cell_angle_alpha 90.00
_cell_angle_beta 90.00
_cell_angle_gamma 90.00
_symmetry_space_group_name_H-M 'P m -3 m'
_symmetry_Int_Tables_number 221
_symmetry_space_group_name_Hall '-P 4 2 3'
loop_
_atom_site_label
_atom_site_fract_x
_atom_site_fract_y
_atom_site_fract_z
_atom_site_occupancy
Be1 0.0000 0.0000 0.0000 1
Nb1 0.0000 0.5000 0.5000 1
H1 0.5000 0.5000 0.5000 1


no.,E_tot (eV/atom)
1,-4.233
2,-7.925